No. 1
YHg2Pb: single point on PBEsol structure, SCAN.

Lattice parameters (Å, degrees): 3.7228 5.3539 5.5076 104.44 109.75 90.00
Sites, in units of the cell vectors:
Hg1 0.7480 0.7423 0.4961
Hg2 0.2520 0.2577 0.5039
Y1 0.0000 0.5000 0.0000
Pb1 0.5000 0.0000 0.0000

***

No. 2
YHg2Pb: single point on PBEsol structure, SCAN.

Lattice parameters (Å, degrees): 4.4806 4.4806 5.8133 112.67 112.67 90.00
Sites, in units of the cell vectors:
Y1 0.2500 0.7500 0.5000
Pb1 0.5000 0.5000 0.0000
Hg1 0.0000 0.0000 0.0000
Hg2 0.7500 0.2500 0.5000

***

No. 3
YHg2Pb: single point on PBEsol structure, SCAN.

Lattice parameters (Å, degrees): 4.4921 4.4921 4.7281 90.00 90.00 90.00
Sites, in units of the cell vectors:
Hg1 0.0000 0.5000 0.0000
Hg2 0.5000 0.0000 0.0000
Pb1 0.5000 0.5000 0.5000
Y1 0.0000 0.0000 0.5000

***

No. 4
YHg2Pb: single point on PBEsol structure, SCAN.

Lattice parameters (Å, degrees): 3.7348 3.7345 7.1254 90.00 90.00 90.00
Sites, in units of the cell vectors:
Hg1 0.0000 0.0000 0.7398
Hg2 0.0000 0.0000 0.2602
Pb1 0.5000 0.5000 0.0000
Y1 0.5000 0.5000 0.5000

***

No. 5
YHg2Pb: single point on PBEsol structure, SCAN.

Lattice parameters (Å, degrees): 4.1186 4.6726 6.0213 112.89 110.00 90.00
Sites, in units of the cell vectors:
Hg1 0.0034 0.0037 0.0067
Hg2 0.7278 0.2278 0.4557
Y1 0.2671 0.7668 0.5342
Pb1 0.5017 0.5017 0.0033

***

No. 6
YHg2Pb: single point on PBEsol structure, SCAN.

Lattice parameters (Å, degrees): 3.7362 3.7397 7.1076 90.00 90.00 90.00
Sites, in units of the cell vectors:
Pb1 0.0000 0.0000 0.4886
Hg1 0.5000 0.5000 0.2312
Hg2 0.0000 0.0000 0.0089
Y1 0.5000 0.5000 0.7713

***

No. 7
YHg2Pb: single point on PBEsol structure, SCAN.

Lattice parameters (Å, degrees): 4.5316 4.5316 5.6822 113.50 113.50 90.00
Sites, in units of the cell vectors:
Hg1 0.2500 0.7500 0.5000
Hg2 0.7500 0.2500 0.5000
Pb1 0.5000 0.5000 0.0000
Y1 0.0000 0.0000 0.0000

***

No. 8
ZnHgPb2: single point on PBEsol structure, SCAN.

Lattice parameters (Å, degrees): 3.4685 5.4297 6.1022 116.19 106.51 90.00
Sites, in units of the cell vectors:
Pb1 0.9895 0.9883 0.9790
Pb2 0.7776 0.2800 0.5552
Zn1 0.5142 0.5099 0.0284
Hg1 0.2187 0.7217 0.4374

***

No. 9
ZnHg2Pb: single point on PBEsol structure, SCAN.

Lattice parameters (Å, degrees): 3.7381 4.3028 6.0482 90.00 108.85 90.00
Sites, in units of the cell vectors:
Pb1 0.4568 0.0000 0.5522
Zn1 0.0408 0.5000 0.7192
Hg1 0.7977 0.5000 0.2122
Hg2 0.2047 0.0000 0.0164

***

No. 10
ZnHg2Pb: single point on PBEsol structure, SCAN.

Lattice parameters (Å, degrees): 3.4578 3.4578 9.1220 79.07 79.07 60.00
Sites, in units of the cell vectors:
Zn1 0.0000 0.0000 0.0000
Hg1 0.2623 0.2623 0.2130
Hg2 0.7377 0.7377 0.7870
Pb1 0.5000 0.5000 0.5000

***

No. 11
ZnHgPb2: single point on PBEsol structure, SCAN.

Lattice parameters (Å, degrees): 5.0479 5.2557 5.0479 61.30 90.00 118.70
Sites, in units of the cell vectors:
Zn1 0.5000 0.0000 0.5000
Hg1 0.0000 0.0000 0.0000
Pb1 0.7500 0.5000 0.7500
Pb2 0.2500 0.5000 0.2500

***

No. 12
ZnHg2Pb: single point on PBEsol structure, SCAN.

Lattice parameters (Å, degrees): 3.4192 3.4192 9.3683 79.49 79.49 60.00
Sites, in units of the cell vectors:
Zn1 0.2563 0.2563 0.2311
Hg1 0.7442 0.7442 0.7674
Hg2 0.9925 0.9925 0.0224
Pb1 0.5070 0.5070 0.4791

***

no.,energy of formation from the pure elements (meV per atom)
1,-425
2,-394
3,-499
4,-406
5,-395
6,-333
7,-477
8,127
9,119
10,74
11,184
12,111